Crystalline BeGeS at its relaxed geometry. Source: the Alexandria database, functional PBE-GGA.

Unit cell a=5.581 b=5.581 c=5.934 alpha=101.79 beta=101.79 gamma=38.33
Element x y z (fractional)
Be 0.000 0.000 0.000
Be 0.518 0.518 0.508
Ge 0.301 0.301 0.317
Ge 0.790 0.790 0.050
S 0.082 0.082 0.369
S 0.563 0.563 0.866

Summary:
Size of the total moment in μB per atom: 0.000
Space group: No. 8
Theoretical density in g/cm3: 3.38
Uncorrected formation energy in kJ/mol of formula units: -99
Total energy in eV/cell: -27.0

Crystalline BeGeS at its relaxed geometry. Source: the Alexandria database, functional PBE-GGA.

Unit cell a=3.439 b=3.482 c=11.120 alpha=81.34 beta=81.42 gamma=60.46
Element x y z (fractional)
Be 0.225 0.240 0.306
Be 0.775 0.760 0.694
Ge 0.312 0.303 0.075
Ge 0.688 0.697 0.925
S 0.116 0.107 0.663
S 0.884 0.893 0.337

Summary:
Size of the total moment in μB per atom: 0.000
Space group: No. 2
Theoretical density in g/cm3: 3.31
Uncorrected formation energy in kJ/mol of formula units: -106
Total energy in eV/cell: -27.1

no.,E above lowest polymorph (eV per formula unit)
1,0.31
2,0.24